Material: Ca2GePt6
Method: DFT, PBE-GGA
State: relaxed

Structure (POSCAR):
```
Ca2GePt6
1.0
5.6301 0.0000 0.0000
-2.8151 4.7278 1.1125
0.0000 0.0853 6.2741
Ca Ge Pt
2 1 6
direct
0.6442 0.2884 0.1421
0.3558 0.7116 0.8579
0.0000 0.0000 0.0000
0.8788 0.2735 0.6884
0.8834 0.7667 0.6883
0.3947 0.2735 0.6884
0.1212 0.7265 0.3116
0.1166 0.2333 0.3117
0.6053 0.7265 0.3116
```

Properties
volume: 18.497 Å³ per atom
E: -51.65 eV per formula unit
magnetization: 0.0 μB/f.u.
formation enthalpy at 0 K: -0.75 eV per atom